1.
A relaxed structure of Er6CdS4. Source: Alexandria via LeMat-Bulk, functional PBE-GGA.

Properties
final energy	-122.68	eV/cell
ΔE_f (raw)	-1.5036	eV/atom
crystal system	orthorhombic
SG	Cmcm

Cell: 6.732 6.732 19.899 Å, 90.00 90.00 146.32°
Positions (direct):
Er1 0.000 0.000 0.000
Er2 0.000 0.000 0.500
Er3 0.156 0.844 0.750
Er4 0.271 0.729 0.085
Er5 0.271 0.729 0.415
Er6 0.461 0.539 0.659
Er7 0.461 0.539 0.841
Er8 0.539 0.461 0.159
Er9 0.539 0.461 0.341
Er10 0.729 0.271 0.585
Er11 0.729 0.271 0.915
Er12 0.844 0.156 0.250
Cd1 0.161 0.839 0.250
Cd2 0.839 0.161 0.750
S1 0.094 0.906 0.621
S2 0.094 0.906 0.879
S3 0.362 0.638 0.539
S4 0.362 0.638 0.961
S5 0.638 0.362 0.039
S6 0.638 0.362 0.461
S7 0.906 0.094 0.121
S8 0.906 0.094 0.379



2.
A relaxed structure of TlCdO3. Source: Alexandria via LeMat-Bulk, functional PBE-GGA.

Properties
final energy	-18.23	eV/cell
ΔE_f (raw)	-0.0150	eV/atom
crystal system	cubic
SG	Pm-3m

Cell: 4.131 4.131 4.131 Å, 90.00 90.00 90.00°
Positions (direct):
Tl1 0.000 0.000 0.000
Cd1 0.500 0.500 0.500
O1 0.000 0.500 0.500
O2 0.500 0.000 0.500
O3 0.500 0.500 0.000



3.
A relaxed structure of Nd2Tl3BiSe6. Source: Alexandria via LeMat-Bulk, functional PBE-GGA.

Properties
final energy	-54.22	eV/cell
ΔE_f (raw)	-1.0665	eV/atom
crystal system	monoclinic
SG	C2/m

Cell: 7.489 7.489 8.118 Å, 98.85 98.85 120.01°
Positions (direct):
Nd1 0.167 0.833 0.000
Nd2 0.833 0.167 0.000
Tl1 0.000 0.000 0.500
Tl2 0.332 0.668 0.500
Tl3 0.668 0.332 0.500
Bi1 0.500 0.500 0.000
Se1 0.096 0.429 0.788
Se2 0.238 0.238 0.214
Se3 0.429 0.096 0.788
Se4 0.571 0.904 0.212
Se5 0.762 0.762 0.786
Se6 0.904 0.571 0.212



4.
A relaxed structure of TlAgOs2. Source: Alexandria via LeMat-Bulk, functional PBE-GGA.

Properties
final energy	-23.07	eV/cell
formation enthalpy at 0 K	1.15	eV/atom
crystal system	orthorhombic
energy relative to the lowest polymorph listed for this composition	639	meV per atom
SG	Cmmm

Cell: 5.152 5.152 2.929 Å, 90.00 90.00 117.30°
Positions (direct):
Tl1 0.000 0.000 0.000
Ag1 0.500 0.500 0.000
Os1 0.000 0.500 0.500
Os2 0.500 0.000 0.500



5.
A relaxed structure of PuSi2Bi2Au7. Source: Alexandria via LeMat-Bulk, functional PBE-GGA.

Properties
final energy	-56.78	eV/cell
ΔE_f (raw)	-0.0746	eV/atom
crystal system	monoclinic
SG	C2/m

Cell: 4.419 4.419 13.890 Å, 92.16 92.16 89.91°
Positions (direct):
Pu1 0.000 0.000 0.000
Si1 0.417 0.417 0.754
Si2 0.583 0.583 0.246
Bi1 0.119 0.119 0.397
Bi2 0.881 0.881 0.603
Au1 0.063 0.533 0.162
Au2 0.366 0.366 0.581
Au3 0.467 0.937 0.838
Au4 0.500 0.500 0.000
Au5 0.533 0.063 0.162
Au6 0.634 0.634 0.419
Au7 0.937 0.467 0.838



6.
A relaxed structure of Th3BiPRu. Source: Alexandria via LeMat-Bulk, functional PBE-GGA.

Properties
final energy	-90.44	eV/cell
formation enthalpy at 0 K	-0.73	eV/atom
crystal system	monoclinic
SG	P2_1/m

Cell: 8.719 4.122 9.663 Å, 90.00 111.59 90.00°
Positions (direct):
Th1 0.162 0.250 0.137
Th2 0.242 0.750 0.478
Th3 0.302 0.750 0.872
Th4 0.698 0.250 0.128
Th5 0.758 0.250 0.522
Th6 0.838 0.750 0.863
Bi1 0.484 0.750 0.260
Bi2 0.516 0.250 0.740
P1 0.044 0.250 0.801
P2 0.956 0.750 0.199
Ru1 0.012 0.750 0.620
Ru2 0.988 0.250 0.380



7.
A relaxed structure of LaGa2Cl. Source: Alexandria via LeMat-Bulk, functional PBE-GGA.

Properties
final energy	-13.75	eV/cell
ΔE_f (raw)	-0.2304	eV/atom
crystal system	cubic
SG	Fm-3m

Cell: 5.365 5.365 5.365 Å, 60.00 60.00 60.00°
Positions (direct):
La1 0.000 0.000 0.000
Ga1 0.250 0.250 0.250
Ga2 0.750 0.750 0.750
Cl1 0.500 0.500 0.500



8.
A relaxed structure of HoTaTc4. Source: Alexandria via LeMat-Bulk, functional PBE-GGA.

Properties
final energy	-58.36	eV/cell
formation enthalpy at 0 K	-0.08	eV/atom
crystal system	cubic
SG	F-43m

Cell: 5.269 5.269 5.269 Å, 60.00 60.00 60.00°
Positions (direct):
Ho1 0.000 0.000 0.000
Ta1 0.750 0.750 0.750
Tc1 0.375 0.375 0.375
Tc2 0.375 0.375 0.874
Tc3 0.375 0.874 0.375
Tc4 0.874 0.375 0.375



9.
A relaxed structure of Mg5AgRh2Au2. Source: Alexandria via LeMat-Bulk, functional PBE-GGA.

Properties
final energy	-70.00	eV/cell
formation enthalpy at 0 K	-0.29	eV/atom
crystal system	tetragonal
SG	P4/mbm

Cell: 10.197 10.197 3.526 Å, 90.00 90.00 90.00°
Positions (direct):
Mg1 0.000 0.500 0.000
Mg2 0.114 0.183 0.000
Mg3 0.183 0.886 0.000
Mg4 0.317 0.386 0.000
Mg5 0.386 0.683 0.000
Mg6 0.500 0.000 0.000
Mg7 0.614 0.317 0.000
Mg8 0.683 0.614 0.000
Mg9 0.817 0.114 0.000
Mg10 0.886 0.817 0.000
Ag1 0.000 0.000 0.500
Ag2 0.500 0.500 0.500
Rh1 0.130 0.370 0.500
Rh2 0.370 0.870 0.500
Rh3 0.630 0.130 0.500
Rh4 0.870 0.630 0.500
Au1 0.162 0.662 0.500
Au2 0.338 0.162 0.500
Au3 0.662 0.838 0.500
Au4 0.838 0.338 0.500



10.
A relaxed structure of UPa2Tl3Te6. Source: Alexandria via LeMat-Bulk, functional PBE-GGA.

Properties
final energy	-63.22	eV/cell
ΔE_f (raw)	-0.5825	eV/atom
crystal system	monoclinic
SG	C2/m

Cell: 7.456 7.456 8.936 Å, 97.99 97.99 120.00°
Positions (direct):
U1 0.000 0.000 0.000
Pa1 0.333 0.667 0.000
Pa2 0.667 0.333 0.000
Tl1 0.165 0.835 0.500
Tl2 0.500 0.500 0.500
Tl3 0.835 0.165 0.500
Te1 0.074 0.409 0.220
Te2 0.262 0.262 0.780
Te3 0.409 0.074 0.220
Te4 0.591 0.926 0.780
Te5 0.738 0.738 0.220
Te6 0.926 0.591 0.780



11.
A relaxed structure of Rb3Sm2TmTe6. Source: Alexandria via LeMat-Bulk, functional PBE-GGA.

Properties
final energy	-52.29	eV/cell
ΔE_f (raw)	-1.3859	eV/atom
crystal system	monoclinic
SG	C2/m

Cell: 7.905 7.905 8.955 Å, 98.46 98.46 120.01°
Positions (direct):
Rb1 0.000 0.000 0.000
Rb2 0.331 0.669 0.000
Rb3 0.669 0.331 0.000
Sm1 0.166 0.834 0.500
Sm2 0.834 0.166 0.500
Tm1 0.500 0.500 0.500
Te1 0.107 0.433 0.299
Te2 0.241 0.241 0.701
Te3 0.433 0.107 0.299
Te4 0.567 0.893 0.701
Te5 0.759 0.759 0.299
Te6 0.893 0.567 0.701



12.
A relaxed structure of Ta2Be2Rh. Source: Alexandria via LeMat-Bulk, functional PBE-GGA.

Properties
final energy	-81.23	eV/cell
formation enthalpy at 0 K	-0.42	eV/atom
crystal system	tetragonal
SG	P4/mbm

Cell: 6.123 6.123 3.502 Å, 90.00 90.00 90.00°
Positions (direct):
Ta1 0.172 0.328 0.000
Ta2 0.328 0.828 0.000
Ta3 0.672 0.172 0.000
Ta4 0.828 0.672 0.000
Be1 0.124 0.624 0.500
Be2 0.376 0.124 0.500
Be3 0.624 0.876 0.500
Be4 0.876 0.376 0.500
Rh1 0.000 0.000 0.500
Rh2 0.500 0.500 0.500



final energy of number 6 (Th3BiPRu)?
-90.44 eV/cell



Which value of final energy does entry 11 give?
-52.29 eV/cell



Which value of final energy does entry 9 give?
-70.00 eV/cell



final energy of number 9 (Mg5AgRh2Au2)?
-70.00 eV/cell